Ca2MnCr: relaxed, PBE.

Unit cell a=5.275 b=5.275 c=5.275 alpha=60.00 beta=60.00 gamma=60.00
Atoms (fractional coordinates):
1 Ca 0.250 0.250 0.250
2 Ca 0.750 0.750 0.750
3 Mn 0.000 0.000 0.000
4 Cr 0.500 0.500 0.500

Results
Its space group is No. 225. For the relative energy among the computed polymorphs, the calculation gives 0.292 eV/atom. As for the formation energy: 635 meV per atom.


EuHfSe3: relaxed, PBE.

Unit cell a=5.192 b=5.192 c=5.192 alpha=90.00 beta=90.00 gamma=90.00
Atoms (fractional coordinates):
1 Eu 0.000 0.000 0.000
2 Hf 0.500 0.500 0.500
3 Se 0.000 0.500 0.500
4 Se 0.500 0.000 0.500
5 Se 0.500 0.500 0.000

Results
For the energy relative to the elements, uncorrected, the calculation gives -131.19 kJ per mole of atoms. Its space group is No. 221.


Mg6AlSnO8: relaxed, PBE.

Unit cell a=4.378 b=4.378 c=9.217 alpha=90.00 beta=90.00 gamma=90.00
Atoms (fractional coordinates):
1 Mg 0.000 0.000 0.000
2 Mg 0.000 0.000 0.500
3 Mg 0.000 0.500 0.240
4 Mg 0.000 0.500 0.760
5 Mg 0.500 0.000 0.240
6 Mg 0.500 0.000 0.760
7 Al 0.500 0.500 0.000
8 Sn 0.500 0.500 0.500
9 O 0.000 0.000 0.246
10 O 0.000 0.000 0.754
11 O 0.000 0.500 0.000
12 O 0.000 0.500 0.500
13 O 0.500 0.000 0.000
14 O 0.500 0.000 0.500
15 O 0.500 0.500 0.193
16 O 0.500 0.500 0.807

Results
For the energy relative to the elements, uncorrected, the calculation gives -212.05 kJ per mole of atoms. Its space group is No. 123. For the relative energy among the computed polymorphs, the calculation gives 0.000 eV/atom.


Y3ErMg6: relaxed, PBE.

Unit cell a=9.251 b=5.274 c=11.250 alpha=90.00 beta=105.72 gamma=90.00
Atoms (fractional coordinates):
1 Y 0.043 0.250 0.397
2 Y 0.149 0.750 0.206
3 Y 0.251 0.250 0.004
4 Y 0.749 0.750 0.996
5 Y 0.851 0.250 0.794
6 Y 0.957 0.750 0.603
7 Er 0.450 0.250 0.599
8 Er 0.550 0.750 0.401
9 Mg 0.057 0.750 0.901
10 Mg 0.163 0.250 0.706
11 Mg 0.258 0.750 0.510
12 Mg 0.354 0.750 0.806
13 Mg 0.358 0.250 0.301
14 Mg 0.453 0.750 0.102
15 Mg 0.547 0.250 0.898
16 Mg 0.642 0.750 0.699
17 Mg 0.646 0.250 0.194
18 Mg 0.742 0.250 0.490
19 Mg 0.837 0.750 0.294
20 Mg 0.943 0.250 0.099

Results
Its space group is No. 11. As for the formation energy: -80 meV per atom.


MnNbRuCl2: relaxed, PBE.

Unit cell a=4.724 b=4.724 c=4.999 alpha=90.00 beta=90.00 gamma=90.00
Atoms (fractional coordinates):
1 Mn 0.000 0.000 0.000
2 Nb 0.500 0.500 0.000
3 Ru 0.500 0.500 0.500
4 Cl 0.000 0.500 0.500
5 Cl 0.500 0.000 0.500

Results
For the energy relative to the elements, uncorrected, the calculation gives 76.96 kJ per mole of atoms. Its space group is No. 123.


Tl5Cd2Pb4: relaxed, PBE.

Unit cell a=8.861 b=3.319 c=11.290 alpha=90.00 beta=93.34 gamma=90.00
Atoms (fractional coordinates):
1 Tl 0.000 0.000 0.000
2 Tl 0.066 0.000 0.300
3 Tl 0.304 0.000 0.834
4 Tl 0.696 0.000 0.166
5 Tl 0.934 0.000 0.700
6 Cd 0.442 0.000 0.366
7 Cd 0.558 0.000 0.634
8 Pb 0.230 0.500 0.553
9 Pb 0.345 0.500 0.117
10 Pb 0.655 0.500 0.883
11 Pb 0.770 0.500 0.447

Results
Its space group is No. 10. As for the formation energy: 41 meV per atom.


Mg2CrPdPb: relaxed, PBE.

Unit cell a=5.041 b=5.041 c=5.077 alpha=90.00 beta=90.00 gamma=90.00
Atoms (fractional coordinates):
1 Mg 0.000 0.500 0.000
2 Mg 0.500 0.000 0.000
3 Cr 0.000 0.000 0.000
4 Pd 0.500 0.500 0.500
5 Pb 0.000 0.000 0.500

Results
Its space group is No. 123. As for the formation energy: 751 meV per atom.


NdDy4HoEr2: relaxed, PBE.

Unit cell a=9.472 b=9.472 c=9.472 alpha=138.10 beta=103.44 gamma=91.34
Atoms (fractional coordinates):
1 Nd 0.000 0.000 0.000
2 Nd 0.500 0.000 0.500
3 Dy 0.248 0.748 0.500
4 Dy 0.251 0.253 0.502
5 Dy 0.251 0.749 0.998
6 Dy 0.253 0.252 0.000
7 Dy 0.747 0.748 0.000
8 Dy 0.749 0.251 0.002
9 Dy 0.749 0.747 0.498
10 Dy 0.752 0.252 0.500
11 Ho 0.000 0.000 0.500
12 Ho 0.000 0.500 0.000
13 Er 0.000 0.500 0.500
14 Er 0.500 0.000 0.000
15 Er 0.500 0.500 0.000
16 Er 0.500 0.500 0.500

Results
Its space group is No. 74. As for the formation energy: 438 meV per atom.


PaGaBi2O8: relaxed, PBE.

Unit cell a=5.029 b=5.029 c=6.872 alpha=90.00 beta=90.00 gamma=90.49
Atoms (fractional coordinates):
1 Pa 0.000 0.000 0.000
2 Ga 0.000 0.000 0.500
3 Bi 0.500 0.500 0.264
4 Bi 0.500 0.500 0.736
5 O 0.182 0.818 0.257
6 O 0.182 0.818 0.743
7 O 0.281 0.281 0.500
8 O 0.309 0.309 0.000
9 O 0.691 0.691 0.000
10 O 0.719 0.719 0.500
11 O 0.818 0.182 0.257
12 O 0.818 0.182 0.743

Results
For the energy relative to the elements, uncorrected, the calculation gives -177.49 kJ per mole of atoms. Its space group is No. 65.


TlBTeN2: relaxed, PBE.

Unit cell a=3.970 b=3.970 c=4.955 alpha=90.00 beta=90.00 gamma=90.00
Atoms (fractional coordinates):
1 Tl 0.000 0.000 0.000
2 B 0.500 0.500 0.500
3 Te 0.500 0.500 0.000
4 N 0.000 0.500 0.500
5 N 0.500 0.000 0.500

Results
For the energy relative to the elements, uncorrected, the calculation gives 175.73 kJ per mole of atoms. Its space group is No. 123. For the relative energy among the computed polymorphs, the calculation gives 0.000 eV/atom.


Ac6As3P2O: relaxed, PBE.

Unit cell a=9.821 b=9.821 c=8.815 alpha=103.06 beta=103.06 gamma=26.04
Atoms (fractional coordinates):
1 Ac 0.000 0.000 0.238
2 Ac 0.000 0.000 0.762
3 Ac 0.331 0.331 0.418
4 Ac 0.342 0.342 0.918
5 Ac 0.658 0.658 0.082
6 Ac 0.669 0.669 0.582
7 As 0.168 0.168 0.837
8 As 0.500 0.500 0.500
9 As 0.832 0.832 0.163
10 P 0.163 0.163 0.329
11 P 0.837 0.837 0.671
12 O 0.500 0.500 0.000

Results
For the energy relative to the elements, uncorrected, the calculation gives -154.79 kJ per mole of atoms. Its space group is No. 12.


Sr2Cd2Hg7: relaxed, PBE.

Unit cell a=7.708 b=7.708 c=6.035 alpha=90.00 beta=90.00 gamma=97.12
Atoms (fractional coordinates):
1 Sr 0.197 0.197 0.000
2 Sr 0.803 0.803 0.000
3 Cd 0.255 0.745 0.500
4 Cd 0.745 0.255 0.500
5 Hg 0.000 0.000 0.500
6 Hg 0.000 0.500 0.250
7 Hg 0.000 0.500 0.750
8 Hg 0.500 0.000 0.250
9 Hg 0.500 0.000 0.750
10 Hg 0.500 0.500 0.254
11 Hg 0.500 0.500 0.746

Results
Its space group is No. 65. For the relative energy among the computed polymorphs, the calculation gives 0.148 eV/atom. As for the formation energy: -122 meV per atom.


For reference, VASP energy by record: -5.064 -7.496 -5.759 -3.432 -5.644 -2.550 -3.591 -4.172 -6.835 -3.946 -6.136 -0.787 eV per atom.
For reference, DOS(E_F) by record: 1.145 2.677 0.185 0.981 1.067 0.559 0.715 2.156 0.149 0.321 0.222 0.395 states/eV/atom.